Density functional theory data (PBE) for crystalline KCd2Re at its relaxed geometry.

Computed properties:
* formation enthalpy at 0 K: 4.61 eV per formula unit

Structure (CIF):
```
data_KCd2Re
_chemical_formula_sum 'K4 Cd8 Re4'
_cell_length_a 5.6526
_cell_length_b 5.6526
_cell_length_c 18.6830
_cell_angle_alpha 90.00
_cell_angle_beta 90.00
_cell_angle_gamma 90.00
_symmetry_space_group_name_H-M 'I -4 2 d'
_symmetry_Int_Tables_number 122
_symmetry_space_group_name_Hall 'I -4 2bw'
loop_
_atom_site_label
_atom_site_fract_x
_atom_site_fract_y
_atom_site_fract_z
_atom_site_occupancy
K1 0.0000 0.0000 0.0000 1
Cd1 0.0062 0.2500 0.6250 1
Re1 0.0000 0.0000 0.5000 1
```

Density functional theory data (PBE) for crystalline KCd2Re at its relaxed geometry.

Computed properties:
* formation enthalpy at 0 K: 2.88 eV per formula unit

Structure (CIF):
```
data_KCd2Re
_chemical_formula_sum 'K2 Cd4 Re2'
_cell_length_a 3.4115
_cell_length_b 4.5480
_cell_length_c 10.9865
_cell_angle_alpha 90.00
_cell_angle_beta 90.00
_cell_angle_gamma 90.00
_symmetry_space_group_name_H-M 'C m m 2'
_symmetry_Int_Tables_number 35
loop_
_symmetry_equiv_pos_as_xyz
'x,y,z'
'-x,-y,z'
'-x,y,z'
'x,-y,z'
'x+1/2,y+1/2,z'
'-x+1/2,-y+1/2,z'
'-x+1/2,y+1/2,z'
'x+1/2,-y+1/2,z'
loop_
_atom_site_label
_atom_site_fract_x
_atom_site_fract_y
_atom_site_fract_z
_atom_site_occupancy
K1 0.0000 0.0000 0.0000 1
Cd1 0.0000 0.0000 0.4687 1
Cd2 0.0000 0.5000 0.7146 1
Re1 0.0000 0.5000 0.2576 1
```

Density functional theory data (PBE) for crystalline K2CdReSb at its relaxed geometry.

Computed properties:
* VASP energy: -2.70 eV per atom

Structure (CIF):
```
data_K2CdReSb
_chemical_formula_sum 'K2 Cd1 Re1 Sb1'
_cell_length_a 6.7627
_cell_length_b 6.7627
_cell_length_c 5.4504
_cell_angle_alpha 90.00
_cell_angle_beta 90.00
_cell_angle_gamma 90.00
_symmetry_space_group_name_H-M 'P 4/m m m'
_symmetry_Int_Tables_number 123
_symmetry_space_group_name_Hall '-P 4 2'
loop_
_atom_site_label
_atom_site_fract_x
_atom_site_fract_y
_atom_site_fract_z
_atom_site_occupancy
K1 0.0000 0.5000 0.0000 1
Cd1 0.0000 0.0000 0.5000 1
Re1 0.5000 0.5000 0.5000 1
Sb1 0.0000 0.0000 0.0000 1
```